# Sm6Er12Tl

A relaxed Sm6Er12Tl crystal (PBE, the Alexandria database). Values from VASP.

```
&SYSTEM
  ibrav = 0, nat = 19, ntyp = 3
/
ATOMIC_SPECIES
Sm 150.36 Sm.upf
Er 167.26 Er.upf
Tl 204.38 Tl.upf
ATOMIC_POSITIONS crystal
Sm 0.741 0.908 0.305
Sm 0.695 0.259 0.092
Sm 0.092 0.695 0.259
Sm 0.259 0.092 0.695
Sm 0.305 0.741 0.908
Sm 0.908 0.305 0.741
Er 0.777 0.540 0.435
Er 0.435 0.777 0.540
Er 0.540 0.435 0.777
Er 0.223 0.460 0.565
Er 0.565 0.223 0.460
Er 0.460 0.565 0.223
Er 0.012 0.190 0.359
Er 0.810 0.641 0.988
Er 0.641 0.988 0.810
Er 0.988 0.810 0.641
Er 0.190 0.359 0.012
Er 0.359 0.012 0.190
Tl 0.000 0.000 0.000
CELL_PARAMETERS angstrom
8.374 0.675 0.808
-0.603 8.380 0.808
-0.603 -0.702 8.389
```

Computed properties:
ΔH_f (0 K) in meV per atom: 86
DOS(E_F) in states/eV per cell: 23.7
Symmetry: R-3

# Sm2Er3Tl3

A relaxed Sm2Er3Tl3 crystal (PBE, the Alexandria database). Values from VASP.

```
&SYSTEM
  ibrav = 0, nat = 8, ntyp = 3
/
ATOMIC_SPECIES
Sm 150.36 Sm.upf
Er 167.26 Er.upf
Tl 204.38 Tl.upf
ATOMIC_POSITIONS crystal
Sm 0.740 0.240 0.480
Sm 0.260 0.760 0.520
Er 0.617 0.617 0.235
Er 0.383 0.383 0.765
Er 0.500 0.000 0.000
Tl 0.125 0.125 0.249
Tl 0.000 0.500 0.000
Tl 0.875 0.875 0.751
CELL_PARAMETERS angstrom
4.492 0.000 0.000
0.000 4.910 0.000
-2.246 -2.455 10.226
```

Computed properties:
ΔH_f (0 K) in meV per atom: -235
DOS(E_F) in states/eV per cell: 7.1
Symmetry: Immm

| no. | E (eV per atom) |
| --- | --- |
| 1 | -4.410 |
| 2 | -4.014 |